# 1
## CrSiAg2 (PBE)

Data for a geometry-optimized CrSiAg2 structure.

DOS(E_F): 2.45 states/eV/f.u.
E_form (uncorrected): 0.23 eV/atom
space-group type: No. 99

POSCAR file:
```
CrSiAg2
1.0
2.8820 0.0000 0.0000
0.0000 2.8820 0.0000
0.0000 0.0000 7.5842
Cr Si Ag
1 1 2
direct
0.0000 0.0000 0.0000
0.5000 0.5000 0.1860
0.0000 0.0000 0.4461
0.5000 0.5000 0.7338
```

# 2
## CrSiAg2 (PBE)

Data for a geometry-optimized CrSiAg2 structure.

DOS(E_F): 2.46 states/eV/f.u.
E_form (uncorrected): 0.50 eV/atom
space-group type: No. 123

POSCAR file:
```
CrSiAg2
1.0
2.9549 0.0000 0.0000
0.0000 2.9549 0.0000
0.0000 0.0000 7.7981
Cr Si Ag
1 1 2
direct
0.0000 0.0000 0.0000
0.0000 0.0000 0.5000
0.5000 0.5000 0.2524
0.5000 0.5000 0.7476
```

# 3
## CrSiAg2 (PBE)

Data for a geometry-optimized CrSiAg2 structure.

DOS(E_F): 2.19 states/eV/f.u.
E_form (uncorrected): 0.31 eV/atom
space-group type: No. 10

POSCAR file:
```
CrSiAg2
1.0
4.5259 0.0000 0.0000
0.0000 2.9675 0.0000
-1.2055 0.0000 4.8201
Cr Si Ag
1 1 2
direct
0.0000 0.0000 0.0000
0.5000 0.5000 0.0000
0.0000 0.5000 0.5000
0.5000 0.0000 0.5000
```

# 4
## CrSiAg2 (PBE)

Data for a geometry-optimized CrSiAg2 structure.

DOS(E_F): 1.48 states/eV/f.u.
E_form (uncorrected): 0.31 eV/atom
space-group type: No. 139

POSCAR file:
```
CrSiAg2
1.0
-1.9464 1.9464 4.3125
1.9464 -1.9464 4.3125
1.9464 1.9464 -4.3125
Cr Si Ag
1 1 2
direct
0.0000 0.0000 0.0000
0.5000 0.5000 0.0000
0.2500 0.7500 0.5000
0.7500 0.2500 0.5000
```

# 5
## CrSiAg2 (PBE)

Data for a geometry-optimized CrSiAg2 structure.

DOS(E_F): 2.16 states/eV/f.u.
E_form (uncorrected): 0.29 eV/atom
space-group type: No. 35

POSCAR file:
```
CrSiAg2
1.0
1.6951 -2.1313 0.0000
1.6951 2.1313 0.0000
0.0000 0.0000 8.4298
Cr Si Ag
1 1 2
direct
0.0000 0.0000 0.0000
0.5000 0.5000 0.1989
0.0000 0.0000 0.4602
0.5000 0.5000 0.7436
```

# 6
## CrSiAg2 (PBE)

Data for a geometry-optimized CrSiAg2 structure.

DOS(E_F): 2.32 states/eV/f.u.
E_form (uncorrected): 0.48 eV/atom
space-group type: No. 166

POSCAR file:
```
CrSiAg2
1.0
1.4672 0.8471 9.0335
-1.4672 0.8471 9.0335
0.0000 -1.6942 9.0335
Cr Si Ag
1 1 2
direct
0.0000 0.0000 0.0000
0.5000 0.5000 0.5000
0.2485 0.2485 0.2485
0.7515 0.7515 0.7515
```

# 7
## CrSiAg2 (PBE)

Data for a geometry-optimized CrSiAg2 structure.

DOS(E_F): 1.67 states/eV/f.u.
E_form (uncorrected): 0.33 eV/atom
space-group type: No. 12

POSCAR file:
```
CrSiAg2
1.0
2.6991 -4.9570 0.0000
2.6991 4.9570 0.0000
-1.4792 0.0000 2.4626
Cr Si Ag
1 1 2
direct
0.0000 0.0000 0.0000
0.5000 0.5000 0.0000
0.0000 0.5000 0.5000
0.5000 0.0000 0.5000
```

# 8
## CrSiAg2 (PBE)

Data for a geometry-optimized CrSiAg2 structure.

DOS(E_F): 1.69 states/eV/f.u.
E_form (uncorrected): 0.39 eV/atom
space-group type: No. 47

POSCAR file:
```
CrSiAg2
1.0
3.0285 0.0000 0.0000
0.0000 4.0444 0.0000
0.0000 0.0000 5.4451
Cr Si Ag
1 1 2
direct
0.0000 0.0000 0.0000
0.0000 0.0000 0.5000
0.5000 0.5000 0.2496
0.5000 0.5000 0.7504
```

# 9
## CrSiTcAg2 (PBE)

Data for a geometry-optimized CrSiTcAg2 structure.

DOS(E_F): 3.43 states/eV/f.u.
E_form (uncorrected): 1.67 eV/atom
space-group type: No. 123

POSCAR file:
```
CrSiTcAg2
1.0
5.0404 0.0000 0.0000
0.0000 5.0404 0.0000
0.0000 0.0000 4.4343
Cr Si Tc Ag
1 1 1 2
direct
0.0000 0.0000 0.0000
0.5000 0.5000 0.0000
0.5000 0.5000 0.5000
0.0000 0.5000 0.5000
0.5000 0.0000 0.5000
```

# 10
## CrAgSn2 (PBE)

Data for a geometry-optimized CrAgSn2 structure.

DFT total energy: -4.377 eV per atom
DOS(E_F): 8.41 states/eV/f.u.
space-group type: No. 122

POSCAR file:
```
CrAgSn2
1.0
-3.7492 3.7492 3.0500
3.7492 -3.7492 3.0500
3.7492 3.7492 -3.0500
Cr Ag Sn
2 2 4
direct
0.0000 0.0000 0.0000
0.7500 0.2500 0.5000
0.2500 0.7500 0.5000
0.5000 0.5000 0.0000
0.1065 0.6250 0.9815
0.3750 0.3565 0.4815
0.6435 0.1250 0.0185
0.8750 0.8935 0.5185
```

# 11
## Cr2AgSn (PBE)

Data for a geometry-optimized Cr2AgSn structure.

DFT total energy: -5.462 eV per atom
DOS(E_F): 9.34 states/eV/f.u.
space-group type: No. 122

POSCAR file:
```
Cr2AgSn
1.0
-3.6112 3.6112 2.6417
3.6112 -3.6112 2.6417
3.6112 3.6112 -2.6417
Cr Ag Sn
4 2 2
direct
0.1241 0.6250 0.9991
0.3750 0.3741 0.4991
0.6259 0.1250 0.0009
0.8750 0.8759 0.5009
0.2500 0.7500 0.5000
0.5000 0.5000 0.0000
0.0000 0.0000 0.0000
0.7500 0.2500 0.5000
```

# 12
## CrAg2Sn (PBE)

Data for a geometry-optimized CrAg2Sn structure.

DFT total energy: -4.449 eV per atom
DOS(E_F): 1.94 states/eV/f.u.
space-group type: No. 122

POSCAR file:
```
CrAg2Sn
1.0
-1.9803 1.9803 10.2034
1.9803 -1.9803 10.2034
1.9803 1.9803 -10.2034
Cr Ag Sn
2 4 2
direct
0.0000 0.0000 0.0000
0.7500 0.2500 0.5000
0.1207 0.6250 0.9957
0.3750 0.3707 0.4957
0.6293 0.1250 0.0043
0.8750 0.8793 0.5043
0.2500 0.7500 0.5000
0.5000 0.5000 0.0000
```

# 13
## CrAgSn2 (PBE)

Data for a geometry-optimized CrAgSn2 structure.

DFT total energy: -4.842 eV per atom
DOS(E_F): 2.59 states/eV/f.u.
space-group type: No. 225

POSCAR file:
```
CrAgSn2
1.0
0.0000 3.4962 3.4962
3.4962 0.0000 3.4962
3.4962 3.4962 0.0000
Cr Ag Sn
1 1 2
direct
0.0000 0.0000 0.0000
0.5000 0.5000 0.5000
0.2500 0.2500 0.2500
0.7500 0.7500 0.7500
```

# 14
## TaCrAg2Sn (PBE)

Data for a geometry-optimized TaCrAg2Sn structure.

DFT total energy: -5.141 eV per atom
DOS(E_F): 2.93 states/eV/f.u.
space-group type: No. 123

POSCAR file:
```
TaCrAg2Sn
1.0
4.9615 0.0000 0.0000
0.0000 4.9615 0.0000
0.0000 0.0000 4.4354
Ta Cr Ag Sn
1 1 2 1
direct
0.0000 0.0000 0.0000
0.0000 0.0000 0.5000
0.0000 0.5000 0.5000
0.5000 0.0000 0.5000
0.5000 0.5000 0.0000
```

# 15
## CrTc2AgSn (PBE)

Data for a geometry-optimized CrTc2AgSn structure.

DFT total energy: -5.128 eV per atom
DOS(E_F): 15.35 states/eV/f.u.
space-group type: No. 123

POSCAR file:
```
CrTc2AgSn
1.0
4.8853 0.0000 0.0000
0.0000 4.8853 0.0000
0.0000 0.0000 4.8390
Cr Tc Ag Sn
1 2 1 1
direct
0.0000 0.0000 0.0000
0.0000 0.5000 0.5000
0.5000 0.0000 0.5000
0.5000 0.5000 0.0000
0.5000 0.5000 0.5000
```